## Ce6In5Pd12 (meta-GGA SCAN)

Data for a PBEsol-optimized structure of Ce6In5Pd12.

a = 8.064 Å, b = 8.064 Å, c = 16.042 Å
α = 90.00°, β = 90.00°, γ = 120.00°
Fractional coordinates of all 46 atoms:
1 Ce 0.000 0.276 0.122
2 Ce 0.000 0.276 0.378
3 Ce 0.000 0.724 0.622
4 Ce 0.000 0.724 0.878
5 Ce 0.276 0.000 0.122
6 Ce 0.276 0.000 0.378
7 Ce 0.276 0.276 0.622
8 Ce 0.276 0.276 0.878
9 Ce 0.724 0.000 0.622
10 Ce 0.724 0.000 0.878
11 Ce 0.724 0.724 0.122
12 Ce 0.724 0.724 0.378
13 In 0.000 0.368 0.750
14 In 0.000 0.632 0.250
15 In 0.333 0.667 0.000
16 In 0.333 0.667 0.500
17 In 0.368 0.000 0.750
18 In 0.368 0.368 0.250
19 In 0.632 0.000 0.250
20 In 0.632 0.632 0.750
21 In 0.667 0.333 0.000
22 In 0.667 0.333 0.500
23 Pd 0.000 0.000 0.000
24 Pd 0.000 0.000 0.250
25 Pd 0.000 0.000 0.500
26 Pd 0.000 0.000 0.750
27 Pd 0.000 0.382 0.572
28 Pd 0.000 0.382 0.928
29 Pd 0.000 0.618 0.072
30 Pd 0.000 0.618 0.428
31 Pd 0.333 0.667 0.167
32 Pd 0.333 0.667 0.333
33 Pd 0.333 0.667 0.667
34 Pd 0.333 0.667 0.833
35 Pd 0.382 0.000 0.572
36 Pd 0.382 0.000 0.928
37 Pd 0.382 0.382 0.072
38 Pd 0.382 0.382 0.428
39 Pd 0.618 0.000 0.072
40 Pd 0.618 0.000 0.428
41 Pd 0.618 0.618 0.572
42 Pd 0.618 0.618 0.928
43 Pd 0.667 0.333 0.167
44 Pd 0.667 0.333 0.333
45 Pd 0.667 0.333 0.667
46 Pd 0.667 0.333 0.833

Total magnetic moment = 8.96 Bohr magnetons per cell
Energy of formation = -0.780 eV per atom